Here is crystalline MnAgNClF at its relaxed geometry from Alexandria via LeMat-Bulk. Energies are from PBE+U.

Energy above the lowest structure with this stoichiometry in kJ per mole of atoms: 6.2

Cell: 6.1087 6.1087 3.5917 Å, 106.59 106.59 50.11°
Fractional positions:
Mn (0.0000, 0.0000, 0.0000)
Ag (0.7457, 0.7457, 0.2468)
N (0.9419, 0.9419, 0.4436)
Cl (0.5115, 0.5115, 0.0121)
F (0.1829, 0.1829, 0.1781)